Here is an optimized crystal structure of Li7Mn2Co3O12 from Alexandria via LeMat-Bulk. Energies are from GGA+U.

Total energy, hartree per atom: -0.2149
Density of states at the Fermi level, states/eV/f.u.: 3.1
Theoretical density, Mg/m³: 4.086
M_tot, μB/cell: 12.000
ΔE to the lowest computed polymorph, eV/f.u.: 1.173

CIF file:
```
data_Li7Mn2Co3O12
_chemical_formula_sum 'Li7 Mn2 Co3 O12'
_symmetry_space_group_name_H-M 'P 1'
_symmetry_Int_Tables_number 1
_cell_length_a 5.087
_cell_length_b 5.087
_cell_length_c 15.459
_cell_angle_alpha 97.24
_cell_angle_beta 97.24
_cell_angle_gamma 32.71
loop_
_symmetry_equiv_pos_as_xyz
'x,y,z'
loop_
_atom_site_label
_atom_site_fract_x
_atom_site_fract_y
_atom_site_fract_z
Li1 0.000 0.000 0.000
Li2 0.016 0.016 0.665
Li3 0.031 0.031 0.359
Li4 0.273 0.273 0.596
Li5 0.501 0.501 0.184
Li6 0.509 0.509 0.840
Li7 0.541 0.541 0.520
Mn1 0.746 0.746 0.085
Mn2 0.762 0.762 0.757
Co1 0.255 0.255 0.263
Co2 0.256 0.256 0.922
Co3 0.794 0.794 0.446
O1 0.130 0.130 0.116
O2 0.155 0.155 0.807
O3 0.167 0.167 0.469
O4 0.357 0.357 0.040
O5 0.378 0.378 0.728
O6 0.381 0.381 0.380
O7 0.636 0.636 0.291
O8 0.644 0.644 0.962
O9 0.654 0.654 0.652
O10 0.853 0.853 0.198
O11 0.866 0.866 0.883
O12 0.904 0.904 0.549
```